# 1
DFT (PBE) results for an optimized crystal structure of Ir2PtRh8.

Properties
E above lowest polymorph (kcal/mol of atoms): 7.16
Density (Mg/m³): 13.8
Volume (Å³/cell): 336.53
ΔE_f (kJ/mol of atoms): 28.1

a b c (Å): 7.0793 12.0416 4.7362
angles (deg): 90.00 123.54 90.00
Space group C2/m (No. 12)
Symmetry-distinct sites (fractional):
Ir  0.0000  0.1918  0.0000 x4
Pt  0.0000  0.5000  0.5000 x2
Rh  0.0000  0.2815  0.5000 x4
Rh  0.0791  0.0000  0.3127 x4
Rh  0.2112  0.3853  0.1235 x8

# 2
DFT (PBE) results for an optimized crystal structure of IrPtRh2.

Properties
E above lowest polymorph (kcal/mol of atoms): 5.32
Density (Mg/m³): 16.4
Volume (Å³/cell): 119.81
ΔE_f (kJ/mol of atoms): 18.2

a b c (Å): 2.7030 4.7142 9.4020
angles (deg): 90.00 90.00 90.00
Space group Cmm2 (No. 35)
Symmetry-distinct sites (fractional):
Ir  0.0000  0.0000  0.0000 x2
Pt  0.0000  0.5000  0.2561 x2
Rh  0.0000  0.0000  0.5098 x2
Rh  0.0000  0.5000  0.7554 x2

# 3
DFT (PBE) results for an optimized crystal structure of Ir3Pt3Rh5.

Properties
Density (Mg/m³): 15.4
Volume (Å³/cell): 180.77
ΔE_f (kJ/mol of atoms): 45.0

a b c (Å): 8.7839 8.7839 2.7053
angles (deg): 90.00 90.00 120.00
Space group P-62m (No. 189)
Symmetry-distinct sites (fractional):
Ir  0.0000  0.1640  0.0000 x3
Pt  0.0000  0.4133  0.5000 x3
Rh  0.0000  0.6632  0.0000 x3
Rh  0.3333  0.6667  0.0000 x2